Density functional theory data (PBE-GGA) for a relaxed SmScGaAu crystal.

Calculated values
* final energy: -4.9785 eV/atom
* DFT formation energy: -0.640 eV/atom
* DOS at the Fermi energy: 3.58 states/eV per cell

a = 5.0192 Å, b = 5.0192 Å, c = 5.0192 Å
α = 60.00°, β = 60.00°, γ = 60.00°
Fractional positions:
1 Sc 0.5000 0.5000 0.5000
2 Ga 0.2500 0.2500 0.2500
3 Au 0.7500 0.7500 0.7500
4 Sm 0.0000 0.0000 0.0000